[1]
An optimized crystal structure of BaVPd, computed with PBE-GGA.

energy of formation from the pure elements: 0.424 eV/atom
spin magnetization: 0.00 Bohr magnetons per cell

a = 7.8640 Å, b = 4.8072 Å, c = 4.8072 Å
α = 63.10°, β = 90.00°, γ = 90.00°
Closest atoms and distances in Å follow each position.
Positions (direct):
Ba (0.2206, 0.0000, 0.0000)  3 V 3.09-3.12, 4 Pd 3.31-3.44
Ba (0.7794, 0.0000, 0.0000)  3 V 3.09-3.12, 4 Pd 3.31-3.44
V (0.3848, 0.3466, 0.3466)  1 V 1.81
V (0.6152, 0.3466, 0.3466)  1 V 1.81
Pd (0.0000, 0.3446, 0.3446)  2 V 3.03, 6 Ba 3.31
Pd (0.5000, 0.6766, 0.6766)  6 V 2.85-3.01

=====

[2]
An optimized crystal structure of BaVPd2, computed with PBE-GGA.

energy of formation from the pure elements: 0.135 eV/atom
spin magnetization: 5.32 Bohr magnetons per cell
energy above the most stable polymorph in this dataset: 0 meV per atom

a = 9.0040 Å, b = 9.0040 Å, c = 9.0040 Å
α = 145.52°, β = 145.52°, γ = 49.57°
Closest atoms and distances in Å follow each position.
Positions (direct):
Ba (0.3750, 0.6250, 0.7500)  8 Pd 3.62, 4 V 3.77
Ba (0.6250, 0.3750, 0.2500)  8 Pd 3.62, 4 V 3.77
V (0.1250, 0.8750, 0.2500)  4 Pd 2.44
V (0.8750, 0.1250, 0.7500)  4 Pd 2.44
Pd (0.0000, 0.0000, 0.0000)  2 V 2.44, 2 Pd 2.67
Pd (0.0000, 0.0000, 0.5000)  2 V 2.44, 2 Pd 2.67
Pd (0.0000, 0.5000, 0.0000)  2 V 2.44, 2 Pd 2.67
Pd (0.5000, 0.0000, 0.5000)  2 V 2.44, 2 Pd 2.67